1.
# K2LiFe | Alexandria via LeMat-Bulk | PBE-GGA | relaxed
data_K2LiFe
_cell_length_a 11.193
_cell_length_b 3.242
_cell_length_c 7.586
_cell_angle_alpha 90.00
_cell_angle_beta 92.92
_cell_angle_gamma 90.00
_space_group_name_H-M_alt 'C 1 2/m 1'
_space_group_IT_number 12
_space_group_name_Hall '-C 2y'
loop_
_atom_site_label
_atom_site_fract_x
_atom_site_fract_y
_atom_site_fract_z
_atom_site_occupancy
K1 0.246 0.000 0.234 1
Li1 0.000 0.000 0.500 1
Fe1 0.000 0.500 0.000 1
# Calculated volume: 34.36 Å³ per atom
# Offset from the most stable computed form: 225 meV per atom
# Fermi-level density of states: 5.3 states/eV/f.u.
# E_tot: -2.252 eV/atom
# Crystal system: monoclinic
# Calculated formation energy: 0.8906 eV per atom



2.
# RbGa2Bi | Alexandria via LeMat-Bulk | PBE-GGA | relaxed
data_RbGa2Bi
_cell_length_a 4.5478
_cell_length_b 4.5478
_cell_length_c 29.3770
_cell_angle_alpha 90.00
_cell_angle_beta 90.00
_cell_angle_gamma 120.00
_space_group_name_H-M_alt 'R -3 m'
_space_group_IT_number 166
_space_group_name_Hall '-R 3 2"'
loop_
_atom_site_label
_atom_site_fract_x
_atom_site_fract_y
_atom_site_fract_z
_atom_site_occupancy
Rb1 0.0000 0.0000 0.0000 1
Ga1 0.0000 0.0000 0.1193 1
Bi1 0.0000 0.0000 0.5000 1
# Calculated volume: 43.85 Å³ per atom
# Fermi-level density of states: 0.4 states/eV/f.u.
# E_tot: -2.578 eV/atom
# Crystal system: trigonal
# Calculated formation energy: 0.1473 eV per atom



3.
# Nd6C2NCl2 | Alexandria via LeMat-Bulk | PBE-GGA | relaxed
data_Nd6C2NCl2
_cell_length_a 6.527
_cell_length_b 11.283
_cell_length_c 7.210
_cell_angle_alpha 90.00
_cell_angle_beta 108.09
_cell_angle_gamma 90.00
_space_group_name_H-M_alt 'C 1 2/m 1'
_space_group_IT_number 12
_space_group_name_Hall '-C 2y'
loop_
_atom_site_label
_atom_site_fract_x
_atom_site_fract_y
_atom_site_fract_z
_atom_site_occupancy
Nd1 0.234 0.164 0.199 1
Nd2 0.235 0.500 0.202 1
C1 0.000 0.332 0.000 1
N1 0.000 0.000 0.000 1
Cl1 0.000 0.171 0.500 1
# Calculated volume: 22.94 Å³ per atom
# Fermi-level density of states: 6.3 states/eV/f.u.
# Formation energy without anion corrections: -966 meV/atom
# E_tot: -6.336 eV/atom
# Crystal system: monoclinic



4.
# Er2GeB2Rh5 | Alexandria via LeMat-Bulk | PBE-GGA | relaxed
data_Er2GeB2Rh5
_cell_length_a 9.367
_cell_length_b 9.367
_cell_length_c 3.244
_cell_angle_alpha 90.00
_cell_angle_beta 90.00
_cell_angle_gamma 90.00
_space_group_name_H-M_alt 'P 4/m b m'
_space_group_IT_number 127
_space_group_name_Hall '-P 4 2ab'
loop_
_atom_site_label
_atom_site_fract_x
_atom_site_fract_y
_atom_site_fract_z
_atom_site_occupancy
Er1 0.175 0.325 0.000 1
Ge1 0.000 0.000 0.000 1
B1 0.122 0.622 0.000 1
Rh1 0.000 0.500 0.500 1
Rh2 0.070 0.783 0.500 1
# Calculated volume: 14.23 Å³ per atom
# Fermi-level density of states: 2.5 states/eV/f.u.
# E_tot: -7.227 eV/atom
# Crystal system: tetragonal
# Calculated formation energy: -0.8412 eV per atom



5.
# PuFe2Si2B | Alexandria via LeMat-Bulk | PBE-GGA | relaxed
data_PuFe2Si2B
_cell_length_a 3.879
_cell_length_b 3.879
_cell_length_c 5.234
_cell_angle_alpha 90.00
_cell_angle_beta 90.00
_cell_angle_gamma 90.00
_space_group_name_H-M_alt 'P 4/m m m'
_space_group_IT_number 123
_space_group_name_Hall '-P 4 2'
loop_
_atom_site_label
_atom_site_fract_x
_atom_site_fract_y
_atom_site_fract_z
_atom_site_occupancy
Pu1 0.000 0.000 0.000 1
Fe1 0.000 0.500 0.500 1
Si1 0.500 0.500 0.231 1
B1 0.000 0.000 0.500 1
# Calculated volume: 13.13 Å³ per atom
# Fermi-level density of states: 8.4 states/eV/f.u.
# Formation energy without anion corrections: -493 meV/atom
# E_tot: -8.624 eV/atom
# Crystal system: tetragonal



6.
# Tb4DyHo3 | Alexandria via LeMat-Bulk | PBE-GGA | relaxed
data_Tb4DyHo3
_cell_length_a 5.602
_cell_length_b 25.890
_cell_length_c 3.553
_cell_angle_alpha 90.00
_cell_angle_beta 90.00
_cell_angle_gamma 90.00
_space_group_name_H-M_alt 'C m m m'
_space_group_IT_number 65
_space_group_name_Hall '-C 2 2'
loop_
_atom_site_label
_atom_site_fract_x
_atom_site_fract_y
_atom_site_fract_z
_atom_site_occupancy
Tb1 0.000 0.103 0.000 1
Tb2 0.000 0.223 0.000 1
Dy1 0.000 0.000 0.500 1
Ho1 0.000 0.346 0.500 1
Ho2 0.000 0.500 0.000 1
# Calculated volume: 32.21 Å³ per atom
# Offset from the most stable computed form: 193 meV per atom
# Fermi-level density of states: 11.7 states/eV/f.u.
# E_tot: -4.405 eV/atom
# Crystal system: orthorhombic
# Calculated formation energy: 0.2016 eV per atom



7.
# LaNd6Ho2 | Alexandria via LeMat-Bulk | PBE-GGA | relaxed
data_LaNd6Ho2
_cell_length_a 3.665
_cell_length_b 8.952
_cell_length_c 9.671
_cell_angle_alpha 89.41
_cell_angle_beta 79.08
_cell_angle_gamma 89.93
_space_group_name_H-M_alt 'P -1'
_space_group_IT_number 2
_space_group_name_Hall '-P 1'
loop_
_atom_site_label
_atom_site_fract_x
_atom_site_fract_y
_atom_site_fract_z
_atom_site_occupancy
La1 0.000 0.000 0.000 1
Nd1 0.109 0.664 0.781 1
Nd2 0.221 0.336 0.558 1
Nd3 0.333 0.001 0.334 1
Ho1 0.444 0.665 0.111 1
# Calculated volume: 34.62 Å³ per atom
# Offset from the most stable computed form: 0 meV per atom
# Fermi-level density of states: 14.3 states/eV/f.u.
# E_tot: -4.725 eV/atom
# Crystal system: triclinic
# Calculated formation energy: 0.0183 eV per atom



8.
# CoSiPt2 | Alexandria via LeMat-Bulk | PBE-GGA | relaxed
data_CoSiPt2
_cell_length_a 3.824
_cell_length_b 3.824
_cell_length_c 16.749
_cell_angle_alpha 90.00
_cell_angle_beta 90.00
_cell_angle_gamma 90.00
_space_group_name_H-M_alt 'I -4 2 d'
_space_group_IT_number 122
_space_group_name_Hall 'I -4 2bw'
loop_
_atom_site_label
_atom_site_fract_x
_atom_site_fract_y
_atom_site_fract_z
_atom_site_occupancy
Co1 0.000 0.000 0.000 1
Si1 0.000 0.000 0.500 1
Pt1 0.250 0.250 0.125 1
# Calculated volume: 15.31 Å³ per atom
# Fermi-level density of states: 5.4 states/eV/f.u.
# Formation energy without anion corrections: -10 meV/atom
# E_tot: -6.163 eV/atom
# Crystal system: tetragonal